[1]
{"formula": "Er3Si3Os2", "functional": "PBE-GGA", "state": "optimized geometry", "magmom_total_mub_per_fu": 0.00, "final_energy_ev_per_cell": -117.60, "cell": [[2.086, -5.307, 0.000], [2.086, 5.307, 0.000], [0.000, 0.000, 13.601]], "species": ["Er", "Er", "Er", "Er", "Er", "Er", "Si", "Si", "Si", "Si", "Si", "Si", "Os", "Os", "Os", "Os"], "fractional_positions": [[0.575, 0.425, 0.116], [0.858, 0.142, 0.250], [0.575, 0.425, 0.384], [0.142, 0.858, 0.750], [0.425, 0.575, 0.884], [0.425, 0.575, 0.616], [0.884, 0.116, 0.038], [0.884, 0.116, 0.462], [0.827, 0.173, 0.750], [0.116, 0.884, 0.538], [0.116, 0.884, 0.962], [0.173, 0.827, 0.250], [0.287, 0.713, 0.418], [0.287, 0.713, 0.082], [0.713, 0.287, 0.582], [0.713, 0.287, 0.918]]}


[2]
{"formula": "SmErSi2Os", "functional": "PBE-GGA", "state": "optimized geometry", "polymorph_energy_ev_per_atom": 0.025, "magmom_total_mub_per_fu": 0.03, "final_energy_ev_per_cell": -70.22, "cell": [[5.464, -2.118, 0.000], [5.464, 2.118, 0.000], [-5.017, 0.000, 8.751]], "species": ["Os", "Os", "Sm", "Sm", "Er", "Er", "Si", "Si", "Si", "Si"], "fractional_positions": [[0.273, 0.273, 0.628], [0.727, 0.727, 0.372], [0.986, 0.986, 0.318], [0.014, 0.014, 0.682], [0.180, 0.180, 0.110], [0.820, 0.820, 0.890], [0.500, 0.500, 0.876], [0.650, 0.650, 0.562], [0.350, 0.350, 0.438], [0.500, 0.500, 0.124]]}


[3]
{"formula": "SmErSi2Os", "functional": "PBE-GGA", "state": "optimized geometry", "polymorph_energy_ev_per_atom": 0.000, "magmom_total_mub_per_fu": 0.02, "final_energy_ev_per_cell": -70.47, "cell": [[5.342, -2.122, 0.000], [5.342, 2.122, 0.000], [-4.842, 0.000, 8.846]], "species": ["Si", "Si", "Si", "Si", "Sm", "Sm", "Er", "Er", "Os", "Os"], "fractional_positions": [[0.644, 0.644, 0.560], [0.501, 0.501, 0.872], [0.356, 0.356, 0.440], [0.499, 0.499, 0.128], [0.811, 0.811, 0.889], [0.189, 0.189, 0.111], [0.996, 0.996, 0.325], [0.004, 0.004, 0.675], [0.731, 0.731, 0.376], [0.269, 0.269, 0.624]]}


[4]
{"formula": "Er2SiSnOs", "functional": "PBE-GGA", "state": "optimized geometry", "magmom_total_mub_per_fu": 0.00, "final_energy_ev_per_cell": -66.74, "cell": [[1.616, 4.136, 3.770], [-2.299, 4.870, 2.220], [-3.349, -9.036, 4.176]], "species": ["Sn", "Sn", "Os", "Os", "Er", "Er", "Er", "Er", "Si", "Si"], "fractional_positions": [[0.474, 0.474, 0.626], [0.526, 0.526, 0.374], [0.263, 0.263, 0.119], [0.737, 0.737, 0.881], [0.812, 0.812, 0.368], [0.995, 0.995, 0.839], [0.188, 0.188, 0.632], [0.005, 0.005, 0.161], [0.645, 0.645, 0.057], [0.355, 0.355, 0.943]]}


What did the second record say?
{"formula": "SmErSi2Os", "functional": "PBE-GGA", "state": "optimized geometry", "polymorph_energy_ev_per_atom": 0.025, "magmom_total_mub_per_fu": 0.03, "final_energy_ev_per_cell": -70.22, "cell": [[5.464, -2.118, 0.000], [5.464, 2.118, 0.000], [-5.017, 0.000, 8.751]], "species": ["Os", "Os", "Sm", "Sm", "Er", "Er", "Si", "Si", "Si", "Si"], "fractional_positions": [[0.273, 0.273, 0.628], [0.727, 0.727, 0.372], [0.986, 0.986, 0.318], [0.014, 0.014, 0.682], [0.180, 0.180, 0.110], [0.820, 0.820, 0.890], [0.500, 0.500, 0.876], [0.650, 0.650, 0.562], [0.350, 0.350, 0.438], [0.500, 0.500, 0.124]]}